VASP calculation (PBE) on a relaxed Ta2Mn2Au crystal.

Cell: 7.0174 7.0174 3.1246 Å, 90.00 90.00 90.00°
Last column: nearest neighbours and their distance in Å.
Space group P4/mbm (No. 127)
Asymmetric unit:
Ta  0.1669  0.3331  0.0000 x4  6 Mn 2.55-2.62
Mn  0.1299  0.6299  0.5000 x4  6 Ta 2.55-2.62, 1 Mn 2.58, 2 Au 2.75
Au  0.0000  0.0000  0.5000 x2  4 Mn 2.75, 8 Ta 3.05

Results
Its volume is 15.4 A^3/atom. The energy above the lowest structure with this stoichiometry comes out at 0 kJ/mol of formula units. The value obtained for the magnetization is 3.97 μB/cell.

***

VASP calculation (PBE) on a relaxed HfCr3Pt crystal.

Cell: 4.7352 4.7352 4.7352 Å, 90.00 90.00 90.00°
Last column: nearest neighbours and their distance in Å.
Space group Pm-3m (No. 221)
Asymmetric unit:
Hf  0.0000  0.0000  0.0000 x1  12 Cr 3.35
Cr  0.0000  0.5000  0.5000 x3  2 Pt 2.37
Pt  0.5000  0.5000  0.5000 x1  6 Cr 2.37

Results
Its volume is 21.2 A^3/atom. The value obtained for the magnetization is 10.00 μB/cell.

***

Total DFT energy (no corrections) (eV for the cell shown)
-89.94, -38.96